DFT (PBE-GGA) results for a geometry-optimized YMg2Sn2 structure.

a = 4.414 Å, b = 4.414 Å, c = 7.285 Å
α = 72.37°, β = 72.37°, γ = 90.00°
Positions (direct):
Y1 0.000 0.000 0.000
Mg1 0.750 0.250 0.500
Mg2 0.250 0.750 0.500
Sn1 0.393 0.393 0.215
Sn2 0.607 0.607 0.785

Results
M_tot: 0.00 μB per cell
space-group type: No. 139
ΔH_f (0 K): -1.6 eV per formula unit